{"formula": "La12Re3H5", "functional": "GGA-PBE", "state": "optimized geometry", "dft_energy_ev_per_cell": -459.554, "lattice_angstrom": [[13.7742, 0.0000, 0.0000], [-4.5914, 12.9864, 0.0000], [-4.5914, -6.4932, 11.2466]], "species": ["Re", "Re", "Re", "Re", "Re", "Re", "Re", "Re", "Re", "Re", "Re", "Re", "H", "H", "H", "H", "H", "H", "H", "H", "H", "H", "H", "H", "H", "H", "H", "H", "H", "H", "H", "H", "La", "La", "La", "La", "La", "La", "La", "La", "La", "La", "La", "La", "La", "La", "La", "La", "La", "La", "La", "La", "La", "La", "La", "La", "La", "La", "La", "La", "La", "La", "La", "La", "La", "La", "La", "La", "La", "La", "La", "La", "La", "La", "La", "La", "La", "La", "La", "La"], "frac_coords": [[0.7500, 0.3750, 0.1250], [0.8750, 0.7500, 0.1250], [0.3750, 0.7500, 0.6250], [0.2500, 0.1250, 0.3750], [0.8750, 0.1250, 0.2500], [0.3750, 0.6250, 0.2500], [0.6250, 0.3750, 0.7500], [0.1250, 0.8750, 0.7500], [0.7500, 0.8750, 0.6250], [0.6250, 0.2500, 0.3750], [0.1250, 0.2500, 0.8750], [0.2500, 0.6250, 0.8750], [0.1250, 0.3750, 0.2500], [0.0000, 0.5000, 0.0000], [0.0000, 0.0000, 0.0000], [0.3750, 0.2500, 0.1250], [0.5000, 0.0000, 0.5000], [0.5000, 0.5000, 0.0000], [0.1250, 0.7500, 0.3750], [0.7500, 0.1250, 0.8750], [0.7500, 0.6250, 0.3750], [0.3750, 0.1250, 0.7500], [0.6250, 0.8750, 0.2500], [0.5000, 0.5000, 0.5000], [0.5000, 0.0000, 0.0000], [0.0000, 0.0000, 0.5000], [0.2500, 0.3750, 0.6250], [0.2500, 0.8750, 0.1250], [0.0000, 0.5000, 0.5000], [0.8750, 0.2500, 0.6250], [0.6250, 0.7500, 0.8750], [0.8750, 0.6250, 0.7500], [0.7198, 0.1245, 0.0342], [0.3144, 0.5342, 0.4097], [0.9658, 0.3755, 0.2802], [0.5342, 0.2198, 0.1245], [0.5953, 0.7198, 0.6856], [0.9658, 0.5903, 0.1856], [0.3144, 0.7802, 0.4047], [0.0903, 0.9047, 0.1245], [0.5903, 0.9658, 0.6856], [0.7198, 0.5953, 0.1856], [0.7802, 0.4658, 0.3755], [0.8144, 0.9097, 0.0342], [0.1245, 0.7198, 0.5342], [0.3755, 0.4097, 0.0953], [0.0953, 0.9097, 0.3755], [0.4047, 0.1245, 0.5903], [0.0953, 0.1856, 0.2198], [0.4658, 0.6856, 0.0903], [0.8144, 0.9047, 0.2802], [0.1245, 0.4047, 0.0903], [0.3755, 0.9658, 0.7802], [0.5903, 0.6245, 0.4047], [0.9097, 0.8144, 0.5342], [0.7802, 0.3144, 0.9047], [0.4097, 0.3755, 0.5953], [0.0903, 0.1856, 0.4658], [0.2198, 0.6856, 0.0953], [0.1856, 0.0953, 0.7198], [0.6245, 0.0342, 0.2198], [0.8755, 0.5953, 0.9097], [0.5342, 0.3144, 0.9097], [0.5953, 0.8755, 0.4097], [0.9047, 0.8144, 0.7802], [0.9047, 0.0903, 0.6245], [0.8755, 0.2802, 0.4658], [0.1856, 0.0903, 0.9658], [0.6245, 0.5903, 0.9047], [0.4097, 0.0342, 0.3144], [0.2802, 0.4047, 0.8144], [0.2198, 0.5342, 0.6245], [0.9097, 0.0953, 0.8755], [0.6856, 0.2198, 0.5953], [0.4658, 0.7802, 0.8755], [0.0342, 0.4097, 0.8144], [0.4047, 0.2802, 0.3144], [0.0342, 0.6245, 0.7198], [0.6856, 0.4658, 0.5903], [0.2802, 0.8755, 0.9658]]}



{"formula": "LaRe2H", "functional": "GGA-PBE", "state": "optimized geometry", "polymorph_energy_ev_per_fu": 0.00, "lattice_angstrom": [[5.5206, 0.0000, 0.0000], [0.0000, 5.5206, 0.0000], [2.7603, 2.7603, 4.3505]], "species": ["Re", "Re", "Re", "Re", "H", "H", "La", "La"], "frac_coords": [[0.3750, 0.1250, 0.2500], [0.3750, 0.6250, 0.2500], [0.3750, 0.6250, 0.7500], [0.8750, 0.6250, 0.7500], [0.5000, 0.5000, 0.0000], [0.2500, 0.7500, 0.5000], [0.0000, 0.0000, 0.0000], [0.7500, 0.2500, 0.5000]]}



{"formula": "La2ReH", "functional": "GGA-PBE", "state": "optimized geometry", "polymorph_energy_ev_per_fu": 0.43, "lattice_angstrom": [[-2.7372, 4.7275, -0.3833], [-3.9925, -2.0577, 3.1328], [-0.1641, 3.6417, 6.9690]], "species": ["Re", "Re", "H", "H", "La", "La", "La", "La"], "frac_coords": [[0.0000, 0.0000, 0.0000], [0.7500, 0.2500, 0.5000], [0.5000, 0.5000, 0.0000], [0.2500, 0.7500, 0.5000], [0.6014, 0.1250, 0.2500], [0.1486, 0.6250, 0.2500], [0.3750, 0.3986, 0.7500], [0.8750, 0.8514, 0.7500]]}



{"formula": "LaReH6", "functional": "GGA-PBE", "state": "optimized geometry", "dft_energy_ev_per_cell": -38.090, "lattice_angstrom": [[-3.1780, 3.2925, -1.0573], [-2.4448, -0.2929, -3.9994], [-4.7389, -1.1511, 0.2219]], "species": ["La", "Re", "H", "H", "H", "H", "H", "H"], "frac_coords": [[0.5000, 0.5000, 0.5000], [0.0000, 0.0000, 0.0000], [0.0985, 0.5608, 0.2422], [0.5608, 0.0985, 0.2422], [0.4392, 0.9015, 0.7578], [0.9015, 0.4392, 0.7578], [0.0982, 0.0982, 0.2426], [0.9018, 0.9018, 0.7574]]}



{"formula": "LaRe2H2", "functional": "GGA-PBE", "state": "optimized geometry", "polymorph_energy_ev_per_fu": 2.55, "lattice_angstrom": [[7.2899, 0.0000, 0.0000], [0.0000, 7.2899, 0.0000], [0.0000, 0.0000, 2.8213]], "species": ["Re", "Re", "Re", "Re", "H", "H", "H", "H", "La", "La"], "frac_coords": [[0.3865, 0.8865, 0.0000], [0.8865, 0.6135, 0.0000], [0.6135, 0.1135, 0.0000], [0.1135, 0.3865, 0.0000], [0.0998, 0.5998, 0.5000], [0.5998, 0.9002, 0.5000], [0.9002, 0.4002, 0.5000], [0.4002, 0.0998, 0.5000], [0.0000, 0.0000, 0.0000], [0.5000, 0.5000, 0.0000]]}



{"formula": "LaRe2H7", "functional": "GGA-PBE", "state": "optimized geometry", "dft_energy_ev_per_cell": -53.130, "lattice_angstrom": [[3.4077, 0.0000, 0.0000], [0.0000, 4.7043, -2.5672], [0.0000, -0.0698, 5.4660]], "species": ["La", "Re", "Re", "H", "H", "H", "H", "H", "H", "H"], "frac_coords": [[0.0000, 0.0000, 0.0000], [0.5000, 0.3116, 0.6233], [0.5000, 0.6884, 0.3767], [0.0000, 0.3749, 0.7498], [0.0000, 0.6251, 0.2502], [0.5000, 0.3220, 0.2931], [0.5000, 0.6780, 0.7069], [0.5000, 0.0289, 0.7069], [0.5000, 0.9711, 0.2931], [0.5000, 0.5000, 0.0000]]}



{"formula": "LaRe2H", "functional": "GGA-PBE", "state": "optimized geometry", "polymorph_energy_ev_per_fu": 5.75, "lattice_angstrom": [[4.1853, -1.2571, 0.9255], [1.9935, 1.4446, 3.7273], [0.7884, -2.8406, 3.3560]], "species": ["Re", "Re", "H", "La"], "frac_coords": [[0.2500, 0.2500, 0.2500], [0.7500, 0.7500, 0.7500], [0.0000, 0.0000, 0.0000], [0.5000, 0.5000, 0.5000]]}



{"formula": "LaReHSe2", "functional": "GGA-PBE", "state": "optimized geometry", "dft_energy_ev_per_cell": -21.102, "lattice_angstrom": [[-0.6023, 3.7016, -4.3764], [-5.8133, 1.5452, 2.1070], [2.2848, 4.1909, 3.2302]], "species": ["Re", "H", "Se", "Se", "La"], "frac_coords": [[0.0000, 0.5000, 0.0000], [0.5000, 0.5000, 0.5000], [0.0000, 0.0000, 0.5000], [0.5000, 0.0000, 0.0000], [0.0000, 0.0000, 0.0000]]}



{"formula": "LaZrRe2H", "functional": "GGA-PBE", "state": "optimized geometry", "polymorph_energy_ev_per_fu": 8.22, "lattice_angstrom": [[4.7583, 0.0000, 0.0000], [0.0000, 6.0390, 0.0000], [0.0000, 0.0000, 4.7583]], "species": ["Re", "Re", "H", "Zr", "La"], "frac_coords": [[0.0000, 0.0000, 0.5000], [0.5000, 0.0000, 0.0000], [0.5000, 0.5000, 0.5000], [0.0000, 0.0000, 0.0000], [0.0000, 0.5000, 0.0000]]}



{"formula": "LaZrRe2H", "functional": "GGA-PBE", "state": "optimized geometry", "polymorph_energy_ev_per_fu": 0.00, "lattice_angstrom": [[4.7024, 0.0000, 0.0000], [0.0000, 3.8145, 0.0000], [0.0000, 0.0000, 4.7024]], "species": ["Re", "Re", "H", "Zr", "La"], "frac_coords": [[0.0000, 0.0000, 0.5000], [0.5000, 0.0000, 0.0000], [0.0000, 0.0000, 0.0000], [0.0000, 0.5000, 0.0000], [0.5000, 0.5000, 0.5000]]}



{"formula": "La2ZrReH", "functional": "GGA-PBE", "state": "optimized geometry", "dft_energy_ev_per_cell": -29.295, "lattice_angstrom": [[-0.4359, -2.4390, -5.2096], [3.2662, 1.1817, -0.8265], [2.2888, -4.8667, 2.0870]], "species": ["Re", "H", "Zr", "La", "La"], "frac_coords": [[0.5000, 0.5000, 0.5000], [0.0000, 0.5000, 0.0000], [0.0000, 0.0000, 0.0000], [0.0000, 0.0000, 0.5000], [0.5000, 0.0000, 0.0000]]}



{"formula": "LaHRh2", "functional": "GGA-PBE", "state": "optimized geometry", "polymorph_energy_ev_per_fu": 2.85, "lattice_angstrom": [[3.0465, 0.0000, 0.0000], [1.5232, 2.6383, 0.0000], [1.5232, 0.8794, 7.3306]], "species": ["H", "Rh", "Rh", "La"], "frac_coords": [[0.5000, 0.5000, 0.5000], [0.1145, 0.1145, 0.6566], [0.8855, 0.8855, 0.3434], [0.0000, 0.0000, 0.0000]]}